The following is a GGA+U calculation of an optimized crystal structure of CdCoO2, from Alexandria.

Unit cell a=8.367 b=8.367 c=3.893 alpha=90.00 beta=90.00 gamma=157.36
Fractional coordinates of all 8 atoms:
Co 0.935 0.065 0.750
O 0.060 0.940 0.750
Cd 0.324 0.676 0.250
O 0.814 0.186 0.750
O 0.186 0.814 0.250
Cd 0.676 0.324 0.750
O 0.940 0.060 0.250
Co 0.065 0.935 0.250

Properties
- E_tot (eV for the cell shown) = -37.98
- space group = Cmcm, No. 63
- spin magnetization (μB/atom) = 0.72